{
  "formula": "Cd4Ga2Ag",
  "functional": "PBE",
  "state": "optimized geometry",
  "formation_energy_ev_per_atom": 0.0653,
  "de_polymorph_mev_per_atom": 0,
  "lattice_angstrom": [[6.978, 0.413, -2.240], [-3.604, 5.989, -2.241], [-0.220, -0.417, 7.325]],
  "species": ["Ag", "Ag", "Ga", "Ga", "Ga", "Ga", "Cd", "Cd", "Cd", "Cd", "Cd", "Cd", "Cd", "Cd"],
  "frac_coords": [[0.250, 0.750, 0.500], [0.000, 0.000, 0.000], [0.625, 0.500, 0.375], [0.125, 0.250, 0.626], [0.750, 0.375, 0.875], [0.500, 0.875, 0.125], [0.708, 0.958, 0.585], [0.542, 0.627, 0.750], [0.374, 0.123, 0.415], [0.877, 0.292, 0.251], [0.042, 0.626, 0.749], [0.876, 0.792, 0.250], [0.208, 0.458, 0.084], [0.373, 0.124, 0.916]]
}

=====

{
  "formula": "Cd2Ga2Ag5",
  "functional": "PBE",
  "state": "optimized geometry",
  "formation_energy_ev_per_atom": 0.0011,
  "de_polymorph_mev_per_atom": 0,
  "lattice_angstrom": [[5.239, -0.366, 0.138], [0.749, 4.656, 2.423], [-1.687, -0.027, 6.828]],
  "species": ["Cd", "Cd", "Ga", "Ga", "Ag", "Ag", "Ag", "Ag", "Ag"],
  "frac_coords": [[0.404, 0.342, 0.878], [0.596, 0.658, 0.122], [0.182, 0.023, 0.663], [0.818, 0.977, 0.337], [0.365, 0.781, 0.429], [0.635, 0.219, 0.571], [0.150, 0.383, 0.225], [0.850, 0.617, 0.775], [0.000, 0.000, 0.000]]
}

=====

{
  "formula": "CdGaAg3",
  "functional": "PBE",
  "state": "optimized geometry",
  "formation_energy_ev_per_atom": 0.6283,
  "de_polymorph_mev_per_atom": 634,
  "lattice_angstrom": [[-0.058, -4.103, -3.216], [3.881, -2.182, 2.714], [-3.482, -2.364, 3.078]],
  "species": ["Ga", "Ag", "Ag", "Ag", "Cd"],
  "frac_coords": [[0.500, 0.500, 0.500], [0.000, 0.500, 0.000], [0.000, 0.000, 0.500], [0.500, 0.000, 0.000], [0.000, 0.000, 0.000]]
}

=====

{
  "formula": "Cd2GaAg5",
  "functional": "PBE",
  "state": "optimized geometry",
  "formation_energy_ev_per_atom": -0.0252,
  "de_polymorph_mev_per_atom": 0,
  "lattice_angstrom": [[-2.532, 3.184, 1.912], [-4.238, -1.108, -3.766], [-4.326, -7.730, 7.143]],
  "species": ["Cd", "Cd", "Cd", "Cd", "Ga", "Ga", "Ag", "Ag", "Ag", "Ag", "Ag", "Ag", "Ag", "Ag", "Ag", "Ag"],
  "frac_coords": [[0.500, 0.334, 0.361], [0.500, 0.666, 0.639], [0.500, 0.166, 0.861], [0.500, 0.834, 0.139], [0.000, 0.000, 0.500], [0.000, 0.500, 0.000], [0.500, 0.330, 0.107], [0.500, 0.670, 0.893], [0.500, 0.830, 0.393], [0.500, 0.170, 0.607], [0.000, 0.913, 0.745], [0.000, 0.087, 0.255], [0.000, 0.413, 0.755], [0.000, 0.587, 0.245], [0.000, 0.500, 0.500], [0.000, 0.000, 0.000]]
}

=====

{
  "formula": "Cd3GaAg",
  "functional": "PBE",
  "state": "optimized geometry",
  "formation_energy_ev_per_atom": 0.0998,
  "de_polymorph_mev_per_atom": 94,
  "lattice_angstrom": [[-2.847, 0.589, -6.403], [-3.948, -5.050, 2.891], [0.255, 5.275, 3.967]],
  "species": ["Cd", "Cd", "Cd", "Cd", "Cd", "Cd", "Ga", "Ga", "Ag", "Ag"],
  "frac_coords": [[0.860, 0.011, 0.240], [0.229, 0.380, 0.240], [0.771, 0.620, 0.760], [0.791, 0.442, 0.234], [0.140, 0.989, 0.760], [0.209, 0.558, 0.766], [0.711, 0.067, 0.778], [0.289, 0.933, 0.222], [0.588, 0.736, 0.324], [0.412, 0.264, 0.676]]
}

=====

{
  "formula": "CdGaAg",
  "functional": "PBE",
  "state": "optimized geometry",
  "formation_energy_ev_per_atom": 0.0193,
  "de_polymorph_mev_per_atom": 27,
  "lattice_angstrom": [[-1.380, 2.875, -3.930], [-0.196, -2.064, -3.589], [-5.352, -5.402, -1.330]],
  "species": ["Cd", "Cd", "Ga", "Ga", "Ag", "Ag"],
  "frac_coords": [[0.229, 0.967, 0.953], [0.556, 0.482, 0.777], [0.218, 0.481, 0.445], [0.913, 0.421, 0.156], [0.565, 0.971, 0.281], [0.876, 0.988, 0.611]]
}

=====

{
  "formula": "Cd9Ga2Ag",
  "functional": "PBE",
  "state": "optimized geometry",
  "formation_energy_ev_per_atom": 0.0339,
  "lattice_angstrom": [[4.432, 0.000, 0.000], [0.000, 4.432, 0.000], [0.000, 0.000, 13.145]],
  "species": ["Cd", "Cd", "Cd", "Cd", "Cd", "Cd", "Cd", "Cd", "Cd", "Ga", "Ga", "Ag"],
  "frac_coords": [[0.500, 0.500, 0.000], [0.500, 0.500, 0.330], [0.500, 0.500, 0.670], [0.500, 0.000, 0.161], [0.500, 0.000, 0.500], [0.500, 0.000, 0.839], [0.000, 0.500, 0.161], [0.000, 0.500, 0.500], [0.000, 0.500, 0.839], [0.000, 0.000, 0.330], [0.000, 0.000, 0.670], [0.000, 0.000, 0.000]]
}

=====

{
  "formula": "Cd4Ga2Ag",
  "functional": "PBE",
  "state": "optimized geometry",
  "formation_energy_ev_per_atom": 0.2453,
  "de_polymorph_mev_per_atom": 180,
  "lattice_angstrom": [[-1.383, 5.010, 1.412], [-2.342, -1.903, 4.461], [7.626, -0.894, 0.370]],
  "species": ["Cd", "Cd", "Cd", "Cd", "Ga", "Ga", "Ag"],
  "frac_coords": [[0.798, 0.798, 0.595], [0.202, 0.202, 0.405], [0.000, 0.500, 0.000], [0.500, 0.000, 0.000], [0.599, 0.599, 0.197], [0.401, 0.401, 0.803], [0.000, 0.000, 0.000]]
}